First-principles (PBE-GGA) data for a geometry-optimized Na3U2TcN6 structure, as listed in Alexandria via LeMat-Bulk.

Computed properties:
- Symmetry: No. 12
- Formation energy (no corrections): -859 kJ/mol of formula units

Lattice parameters (Å, degrees): 7.555 7.555 6.795 106.36 106.36 26.32
Sites, in units of the cell vectors:
Na 0.000 0.000 0.000
Na 0.340 0.340 0.672
Na 0.660 0.660 0.328
U 0.340 0.340 0.188
U 0.660 0.660 0.812
Tc 0.000 0.000 0.500
N 0.153 0.153 0.608
N 0.180 0.180 0.037
N 0.489 0.489 0.291
N 0.511 0.511 0.709
N 0.820 0.820 0.963
N 0.847 0.847 0.392